*one*
The following is a DFT calculation (GGA-PBE) of a relaxed structure of PmCoGe. Values from VASP.

Properties
M_tot: 0.9 μB/f.u.

The structure in Quantum ESPRESSO input format:
```
&SYSTEM
  ibrav = 0, nat = 3, ntyp = 3
/
ATOMIC_SPECIES
Pm 145.00 Pm.upf
Co 58.93 Co.upf
Ge 72.64 Ge.upf
ATOMIC_POSITIONS crystal
Pm 0.000 0.000 0.000
Co 0.250 0.250 0.250
Ge 0.500 0.500 0.500
CELL_PARAMETERS angstrom
0.000 3.127 3.127
3.127 0.000 3.127
3.127 3.127 0.000
```

*two*
The following is a DFT calculation (GGA-PBE) of a relaxed structure of PmCoGe. Values from VASP.

Properties
M_tot: 0.4 μB/f.u.

The structure in Quantum ESPRESSO input format:
```
&SYSTEM
  ibrav = 0, nat = 6, ntyp = 3
/
ATOMIC_SPECIES
Pm 145.00 Pm.upf
Co 58.93 Co.upf
Ge 72.64 Ge.upf
ATOMIC_POSITIONS crystal
Pm 0.250 0.250 0.190
Pm 0.750 0.750 0.810
Co 0.250 0.750 0.500
Co 0.750 0.250 0.500
Ge 0.250 0.250 0.688
Ge 0.750 0.750 0.312
CELL_PARAMETERS angstrom
4.149 0.000 0.000
0.000 4.149 0.000
0.000 0.000 6.790
```

*three*
The following is a DFT calculation (GGA-PBE) of a relaxed structure of PmCoGe. Values from VASP.

Properties
M_tot: 0.3 μB/f.u.

The structure in Quantum ESPRESSO input format:
```
&SYSTEM
  ibrav = 0, nat = 3, ntyp = 3
/
ATOMIC_SPECIES
Pm 145.00 Pm.upf
Co 58.93 Co.upf
Ge 72.64 Ge.upf
ATOMIC_POSITIONS crystal
Pm 0.000 0.000 0.000
Co 0.333 0.667 0.500
Ge 0.667 0.333 0.500
CELL_PARAMETERS angstrom
4.142 0.000 0.000
-2.071 3.587 0.000
0.000 0.000 3.986
```

*four*
The following is a DFT calculation (GGA-PBE) of a relaxed structure of PmCoGe. Values from VASP.

Properties
M_tot: 0.0 μB/f.u.

The structure in Quantum ESPRESSO input format:
```
&SYSTEM
  ibrav = 0, nat = 12, ntyp = 3
/
ATOMIC_SPECIES
Pm 145.00 Pm.upf
Co 58.93 Co.upf
Ge 72.64 Ge.upf
ATOMIC_POSITIONS crystal
Pm 0.024 0.250 0.184
Pm 0.476 0.750 0.684
Pm 0.524 0.250 0.316
Pm 0.976 0.750 0.816
Co 0.140 0.750 0.432
Co 0.360 0.250 0.932
Co 0.640 0.750 0.068
Co 0.860 0.250 0.568
Ge 0.193 0.250 0.609
Ge 0.307 0.750 0.109
Ge 0.693 0.250 0.891
Ge 0.807 0.750 0.391
CELL_PARAMETERS angstrom
7.254 0.000 0.000
0.000 4.373 0.000
0.000 0.000 6.932
```

The least stable of them is *one*.